A geometry-optimized ScCoIO2 structure, computed with GGA+U.

Summary:
E ... -25.28 eV per cell
Calculated volume ... 16.154 Å³ per atom
E above lowest polymorph ... 0.5936 eV/atom

abc: 4.0287 4.0287 4.9764
angles: 90.00 90.00 90.00
Last column: nearest neighbours and their distance in Å.
Fractional coordinates of all 5 atoms:
1 O 0.0000 0.5000 0.0000  2 Co 2.01
2 O 0.5000 0.0000 0.0000  2 Co 2.01
3 Co 0.0000 0.0000 0.0000  4 O 2.01
4 I 0.0000 0.0000 0.5000  2 Co 2.49
5 Sc 0.5000 0.5000 0.5000  4 I 2.85